1.
Crystalline Er2PaBi at its relaxed geometry. Source: the Alexandria database, functional GGA-PBE.

```
Er2PaBi
1.0
-0.965 4.411 0.002
-4.786 -1.047 -0.308
-0.301 -0.068 4.899
Pa Bi Er
1 1 2
Cartesian
-3.026 1.648 2.296 Pa
-0.482 2.205 0.001 Bi
-0.150 -0.034 2.449 Er
-2.393 -0.523 -0.154 Er
```

DFT formation energy = -0.11 eV/atom
theoretical density = 11.8 g/cm³
polymorph energy (0 for the lowest one) = 0.0500 eV per atom


2.
Crystalline Y2HoTm8 at its relaxed geometry. Source: the Alexandria database, functional GGA-PBE.

```
Y2HoTm8
1.0
-1.833 0.142 -5.042
-1.519 -8.110 0.324
-5.467 5.112 4.986
Y Ho Tm
2 1 8
Cartesian
-5.220 0.361 -0.948 Y
-3.598 -3.218 1.217 Y
-0.916 0.071 -2.521 Ho
-5.761 -0.555 2.078 Tm
-4.377 -5.456 -1.418 Tm
-6.519 -2.919 -0.568 Tm
-7.488 2.817 -0.055 Tm
-2.298 0.062 0.837 Tm
-4.440 2.599 1.687 Tm
-3.057 -2.301 -1.809 Tm
-1.330 -5.674 0.324 Tm
```

DFT formation energy = 0.11 eV/atom
theoretical density = 8.3 g/cm³
polymorph energy (0 for the lowest one) = 0.0000 eV per atom


3.
Crystalline PmDySi at its relaxed geometry. Source: the Alexandria database, functional GGA-PBE.

```
PmDySi
1.0
-0.644 4.168 0.431
-0.150 -2.742 5.466
6.742 -1.246 1.270
Pm Dy Si
2 2 2
Cartesian
2.641 -2.050 3.730 Pm
3.941 0.021 6.504 Pm
0.428 2.231 0.706 Dy
6.304 -1.519 4.063 Dy
4.355 0.435 3.087 Si
2.377 0.278 1.682 Si
```

theoretical density = 7.0 g/cm³
raw formation energy = -0.5108 eV per atom
polymorph energy (0 for the lowest one) = 0.0314 eV per atom


4.
Crystalline PmTmCuIr at its relaxed geometry. Source: the Alexandria database, functional GGA-PBE.

```
PmTmCuIr
1.0
-1.193 -2.554 -4.019
3.231 -3.127 -1.970
-0.769 -4.839 0.305
Ir Tm Cu Pm
1 1 1 1
Cartesian
0.952 -7.890 -4.263 Ir
0.000 0.000 0.000 Tm
0.317 -2.630 -1.421 Cu
0.634 -5.260 -2.842 Pm
```

DFT formation energy = -0.54 eV/atom
theoretical density = 11.3 g/cm³
polymorph energy (0 for the lowest one) = 0.0117 eV per atom


5.
Crystalline Ta2NbSiPb at its relaxed geometry. Source: the Alexandria database, functional GGA-PBE.

```
Ta2NbSiPb
1.0
5.097 0.000 0.000
0.000 5.113 0.000
0.000 0.000 5.097
Pb Nb Si Ta
1 1 1 2
Cartesian
0.000 0.000 0.000 Pb
0.000 2.556 0.000 Nb
2.549 2.556 2.549 Si
0.000 0.000 2.549 Ta
2.549 0.000 0.000 Ta
```

theoretical density = 8.6 g/cm³
raw formation energy = 2.4486 eV per atom
polymorph energy (0 for the lowest one) = 0.7714 eV per atom


6.
Crystalline VCrW4 at its relaxed geometry. Source: the Alexandria database, functional GGA-PBE.

```
VCrW4
1.0
3.106 -0.001 0.000
0.001 3.106 0.000
0.000 0.000 9.315
V Cr W
1 1 4
Cartesian
1.553 1.552 4.658 V
0.000 0.000 0.000 Cr
1.553 1.552 7.814 W
1.553 1.553 1.502 W
3.106 3.105 6.200 W
0.000 0.000 3.115 W
```

DFT formation energy = -0.03 eV/atom
theoretical density = 15.5 g/cm³
polymorph energy (0 for the lowest one) = 0.0000 eV per atom


7.
Crystalline LaZr2Cr at its relaxed geometry. Source: the Alexandria database, functional GGA-PBE.

```
LaZr2Cr
1.0
-1.847 1.522 2.261
1.802 -1.368 2.392
5.467 6.895 -0.174
Cr La Zr
1 1 2
Cartesian
2.549 3.214 -0.081 Cr
3.920 5.048 2.201 La
0.198 0.249 -0.006 Zr
1.490 1.984 2.278 Zr
```

DFT formation energy = 0.29 eV/atom
theoretical density = 6.5 g/cm³
polymorph energy (0 for the lowest one) = 0.0917 eV per atom


8.
Crystalline SrPbAu2 at its relaxed geometry. Source: the Alexandria database, functional GGA-PBE.

```
SrPbAu2
1.0
-4.006 1.368 2.997
-1.640 -3.185 3.750
0.786 1.232 4.976
Au Pb Sr
2 1 1
Cartesian
0.000 0.000 0.000 Au
-1.215 -0.146 2.931 Au
-2.430 -0.292 5.861 Pb
-3.645 -0.438 8.792 Sr
```

DFT formation energy = -0.31 eV/atom
theoretical density = 11.6 g/cm³


9.
Crystalline CaTe2Rh at its relaxed geometry. Source: the Alexandria database, functional GGA-PBE.

```
CaTe2Rh
1.0
7.072 -0.020 -0.012
5.816 4.023 -0.012
5.816 1.806 3.594
Ca Te Rh
1 2 1
Cartesian
4.676 1.452 0.892 Ca
0.333 0.104 0.064 Te
9.019 2.801 1.721 Te
14.029 4.357 2.677 Rh
```

theoretical density = 6.4 g/cm³
raw formation energy = -0.7164 eV per atom
polymorph energy (0 for the lowest one) = 0.0976 eV per atom


10.
Crystalline Ac2MnC2N6 at its relaxed geometry. Source: the Alexandria database, functional GGA-PBE.

```
Ac2MnC2N6
1.0
-4.232 3.029 -0.864
0.898 -4.210 -3.050
-3.037 -3.227 3.560
Ac Mn C N
2 1 2 6
Cartesian
-4.657 -1.652 0.910 Ac
-1.714 -2.755 -1.264 Ac
0.000 0.000 0.000 Mn
-3.259 -4.396 0.546 C
-3.113 -0.011 -0.900 C
-2.836 -3.527 1.526 N
-4.339 -4.059 -0.238 N
-2.432 -5.424 0.152 N
-3.535 -0.881 -1.881 N
-2.032 -0.349 -0.117 N
-3.939 1.016 -0.506 N
```

theoretical density = 7.5 g/cm³
raw formation energy = -0.4363 eV per atom


11.
Crystalline NaMgN2O at its relaxed geometry. Source: the Alexandria database, functional GGA-PBE.

```
NaMgN2O
1.0
-3.684 -1.863 -0.890
1.088 -0.204 -4.076
1.710 -3.686 0.641
Na Mg O N
1 1 1 2
Cartesian
0.000 0.000 0.000 Na
-0.443 -2.877 -2.162 Mg
0.855 -1.843 0.321 O
0.544 -0.102 -2.038 N
-1.842 -0.932 -0.445 N
```

theoretical density = 2.1 g/cm³
raw formation energy = 1.4035 eV per atom


12.
Crystalline Na4Tb3USe8 at its relaxed geometry. Source: the Alexandria database, functional GGA-PBE.

```
Na4Tb3USe8
1.0
8.333 0.000 0.000
0.000 8.506 0.114
-4.166 -4.161 5.896
Na Tb U Se
4 3 1 8
Cartesian
4.166 0.000 0.000 Na
2.083 -2.081 2.948 Na
0.000 0.000 0.000 Na
-2.083 -2.081 2.948 Na
4.166 4.253 0.057 Tb
2.083 2.172 3.005 Tb
-2.083 2.172 3.005 Tb
0.000 4.253 0.057 U
-2.076 2.115 5.904 Se
0.000 4.189 2.966 Se
0.000 0.156 3.053 Se
2.076 2.115 5.904 Se
2.090 2.230 0.106 Se
4.166 4.189 2.956 Se
4.166 0.156 3.043 Se
6.242 2.230 0.106 Se
```

theoretical density = 5.7 g/cm³
raw formation energy = -1.5616 eV per atom